(1)
Density functional theory data (PBE) for a geometry-optimized La3Sb structure.

The total energy is -85.25 eV/cell. The relative energy among the computed polymorphs is 0.24 eV per formula unit. The uncorrected formation energy is -0.60 eV/atom.

It has space group P6_3/mmc (No. 194), with a = 7.0484 Å, b = 7.0484 Å, c = 11.6029 Å, α = 90.00°, β = 90.00° and γ = 120.00°. The inequivalent atoms are La at (0.0000, 0.5000, 0.0000), La at (0.1592, 0.3184, 0.2500), Sb at (0.0000, 0.0000, 0.0000) and Sb at (0.3333, 0.6667, 0.7500).


(2)
Density functional theory data (PBE) for a geometry-optimized La7Sb structure.

The total energy is -163.25 eV/cell. The uncorrected formation energy is -0.27 eV/atom.

It has space group Fm-3m (No. 225), with a = 10.205 Å, b = 10.205 Å, c = 10.205 Å, α = 90.00°, β = 90.00° and γ = 90.00°. The inequivalent atoms are La at (0.000, 0.000, 0.000), La at (0.000, 0.250, 0.250) and Sb at (0.000, 0.000, 0.500).


(3)
Density functional theory data (PBE) for a geometry-optimized La3Sb structure.

The total energy is -61.69 eV/cell. The relative energy among the computed polymorphs is 0.99 eV per formula unit. The uncorrected formation energy is -0.41 eV/atom.

It has space group R-3m (No. 166, hexagonal axes), with a = 4.1745 Å, b = 4.1745 Å, c = 30.3475 Å, α = 90.00°, β = 90.00° and γ = 120.00°. The inequivalent atoms are La at (0.0000, 0.0000, 0.0000), La at (0.0000, 0.0000, 0.2337) and Sb at (0.0000, 0.0000, 0.5000).